Entry 1:
# NaMnBr2 PBE optimized geometry
data_NaMnBr2
_space_group_name_H-M_alt 'R -3 m'
_space_group_IT_number 166
_space_group_name_Hall '-R 3 2"'
_cell_length_a 3.8761
_cell_length_b 3.8761
_cell_length_c 28.3566
_cell_angle_alpha 90.00
_cell_angle_beta 90.00
_cell_angle_gamma 120.00
loop_
_atom_site_label
_atom_site_type_symbol
_atom_site_fract_x
_atom_site_fract_y
_atom_site_fract_z
_atom_site_occupancy
Na1 Na 0.0000 0.0000 0.0000 1
Mn1 Mn 0.0000 0.0000 0.5000 1
Br1 Br 0.0000 0.0000 0.1124 1
# Uncorrected energy in eV/atom: -4.027
# Formation energy (no corrections) in eV/atom: -0.5685
# Fermi-level density of states in states/eV/atom: 0.3753
# ΔE to the lowest computed polymorph in meV per atom: 25

---

Entry 2:
# NaMnBr2 PBE optimized geometry
data_NaMnBr2
_space_group_name_H-M_alt 'F m -3 m'
_space_group_IT_number 225
_space_group_name_Hall '-F 4 2 3'
_cell_length_a 7.239
_cell_length_b 7.239
_cell_length_c 7.239
_cell_angle_alpha 90.00
_cell_angle_beta 90.00
_cell_angle_gamma 90.00
loop_
_atom_site_label
_atom_site_type_symbol
_atom_site_fract_x
_atom_site_fract_y
_atom_site_fract_z
_atom_site_occupancy
Na1 Na 0.000 0.000 0.000 1
Mn1 Mn 0.000 0.000 0.500 1
Br1 Br 0.250 0.250 0.250 1
# Uncorrected energy in eV/atom: -3.869
# Formation energy (no corrections) in eV/atom: -0.4101
# Fermi-level density of states in states/eV/atom: 1.3512
# ΔE to the lowest computed polymorph in meV per atom: 183